(1)
{"formula": "YAgSeBr2", "functional": "GGA-PBE", "state": "relaxed", "polymorph_energy_kj_per_mol_atoms": 49.2, "e_form_raw_mev_per_atom": -342, "dft_energy_ev_per_atom": -3.57, "lattice_angstrom": [[5.174, 0.000, 0.000], [0.000, 5.174, 0.000], [0.000, 0.000, 5.294]], "species": ["Y", "Ag", "Se", "Br", "Br"], "fractional_positions": [[0.000, 0.000, 0.000], [0.500, 0.500, 0.500], [0.500, 0.500, 0.000], [0.000, 0.500, 0.500], [0.500, 0.000, 0.500]]}

---

(2)
{"formula": "SiAg2Br", "functional": "GGA-PBE", "state": "relaxed", "polymorph_energy_kj_per_mol_atoms": 48.0, "e_form_raw_mev_per_atom": 637, "dft_energy_ev_per_atom": -2.56, "lattice_angstrom": [[0.000, 3.469, 3.469], [3.469, 0.000, 3.469], [3.469, 3.469, 0.000]], "species": ["Si", "Ag", "Ag", "Br"], "fractional_positions": [[0.000, 0.000, 0.000], [0.250, 0.250, 0.250], [0.750, 0.750, 0.750], [0.500, 0.500, 0.500]]}

---

(3)
{"formula": "SiAg2Br", "functional": "GGA-PBE", "state": "relaxed", "polymorph_energy_kj_per_mol_atoms": 5.4, "e_form_raw_mev_per_atom": 196, "dft_energy_ev_per_atom": -3.00, "lattice_angstrom": [[-1.638, 1.764, 7.398], [1.638, -1.764, 7.398], [1.638, 1.764, -7.398]], "species": ["Si", "Ag", "Ag", "Br"], "fractional_positions": [[0.000, 0.000, 0.000], [0.135, 0.635, 0.500], [0.420, 0.420, 0.000], [0.752, 0.252, 0.500]]}

---

(4)
{"formula": "Si2AgBr", "functional": "GGA-PBE", "state": "relaxed", "polymorph_energy_kj_per_mol_atoms": 38.2, "e_form_raw_mev_per_atom": 514, "dft_energy_ev_per_atom": -3.33, "lattice_angstrom": [[3.604, 0.000, 0.000], [0.000, 3.740, 0.000], [0.000, 0.000, 7.355]], "species": ["Si", "Si", "Ag", "Br"], "fractional_positions": [[0.000, 0.000, 0.000], [0.500, 0.500, 0.000], [0.000, 0.500, 0.500], [0.500, 0.000, 0.500]]}